A plane-wave DFT calculation with PBE was carried out for crystalline Dy3Al2Ga2 at its relaxed geometry.

Calculated density (g/cm³): 6.922

Lattice parameters (Å, degrees): 4.238 4.148 9.754 102.28 102.55 90.00
Each line ends with the local moment (μB).
Positions (direct):
1 Al 0.859 0.359 0.717  0.00
2 Al 0.141 0.641 0.283  0.00
3 Dy 0.313 0.813 0.626  0.12
4 Dy 0.687 0.187 0.374  0.12
5 Dy 0.000 0.000 0.000  0.01
6 Ga 0.434 0.434 0.868  0.00
7 Ga 0.566 0.566 0.132  0.00

---

A plane-wave DFT calculation with PBE was carried out for crystalline Dy2AlGa5 at its relaxed geometry.

Calculated density (g/cm³): 7.534

Lattice parameters (Å, degrees): 6.006 6.006 6.006 90.94 119.46 119.46
Positions (direct):
1 Ga 0.509 0.282 0.282
2 Ga 0.000 0.773 0.282
3 Ga 0.491 0.773 0.773
4 Ga 0.000 0.270 0.270
5 Ga 0.000 0.282 0.773
6 Dy 0.500 0.778 0.278
7 Dy 0.500 0.278 0.778
8 Al 0.000 0.785 0.785

---

A plane-wave DFT calculation with PBE was carried out for crystalline Dy6Al2Ga at its relaxed geometry.

Calculated density (g/cm³): 7.486
Energy above the lowest structure with this stoichiometry (eV/atom): 0.000

Lattice parameters (Å, degrees): 8.589 8.589 8.589 108.11 111.07 109.25
Positions (direct):
1 Dy 0.437 0.261 0.175
2 Dy 0.804 0.253 0.057
3 Dy 0.282 0.956 0.674
4 Dy 0.282 0.609 0.326
5 Dy 0.914 0.739 0.175
6 Dy 0.086 0.261 0.825
7 Dy 0.804 0.747 0.551
8 Dy 0.718 0.044 0.326
9 Dy 0.196 0.253 0.449
10 Dy 0.563 0.739 0.825
11 Dy 0.196 0.747 0.943
12 Dy 0.718 0.391 0.674
13 Al 0.500 0.628 0.128
14 Al 0.639 0.000 0.639
15 Al 0.361 0.000 0.361
16 Al 0.500 0.372 0.872
17 Ga 0.000 0.500 0.500
18 Ga 0.000 0.000 0.000

---

A plane-wave DFT calculation with PBE was carried out for crystalline Dy3AlGa3 at its relaxed geometry.

Calculated density (g/cm³): 7.631

Lattice parameters (Å, degrees): 4.354 5.873 13.454 83.98 80.69 68.24
Positions (direct):
1 Dy 0.739 0.745 0.777
2 Dy 0.520 0.336 0.624
3 Dy 0.261 0.255 0.223
4 Dy 0.394 0.288 0.924
5 Dy 0.606 0.712 0.076
6 Dy 0.480 0.664 0.376
7 Ga 0.027 0.176 0.771
8 Ga 0.869 0.716 0.545
9 Ga 0.111 0.853 0.925
10 Ga 0.973 0.824 0.229
11 Ga 0.889 0.147 0.075
12 Ga 0.131 0.284 0.455
13 Al 0.236 0.921 0.607
14 Al 0.764 0.079 0.393

---

A plane-wave DFT calculation with PBE was carried out for crystalline Dy3AlGa at its relaxed geometry.

Calculated density (g/cm³): 7.716

Lattice parameters (Å, degrees): 6.763 7.266 10.409 79.49 90.00 90.00
Positions (direct):
1 Dy 0.335 0.644 0.097
2 Dy 0.665 0.356 0.903
3 Dy 0.835 0.356 0.403
4 Dy 0.007 0.189 0.713
5 Dy 0.019 0.241 0.120
6 Dy 0.981 0.759 0.880
7 Dy 0.507 0.811 0.787
8 Dy 0.519 0.759 0.380
9 Dy 0.493 0.189 0.213
10 Dy 0.993 0.811 0.287
11 Dy 0.481 0.241 0.620
12 Dy 0.165 0.644 0.597
13 Al 0.308 0.054 0.956
14 Al 0.192 0.054 0.456
15 Al 0.692 0.946 0.044
16 Al 0.808 0.946 0.544
17 Ga 0.233 0.428 0.876
18 Ga 0.267 0.428 0.376
19 Ga 0.767 0.572 0.124
20 Ga 0.733 0.572 0.624

---

A plane-wave DFT calculation with PBE was carried out for crystalline Dy3AlGa2 at its relaxed geometry.

Calculated density (g/cm³): 7.872
Energy above the lowest structure with this stoichiometry (eV/atom): 0.000

Lattice parameters (Å, degrees): 3.563 3.563 10.865 90.00 90.00 90.00
Positions (direct):
1 Al 0.500 0.500 0.500
2 Dy 0.000 0.000 0.669
3 Dy 0.000 0.000 0.331
4 Dy 0.000 0.000 0.000
5 Ga 0.500 0.500 0.166
6 Ga 0.500 0.500 0.834

---

The following final energy values (in eV/atom) correspond, in order, to the records above: -4.412, -4.016, -4.535, -4.417, -4.421, -4.454.
The following ΔE_f values (in meV per atom) correspond, in order, to the records above: -506, -506, -299, -613, -305, -520.